A geometry-optimized KTiS2 structure. Source: Alexandria via LeMat-Bulk, functional GGA-PBE.

Structure (POSCAR):
```
KTiS2
1.0
6.882 0.000 0.000
0.000 6.882 0.000
0.000 0.000 9.730
K Ti S
4 4 8
direct
0.000 0.000 0.000
0.000 0.500 0.250
0.500 0.000 0.750
0.500 0.500 0.500
0.000 0.000 0.500
0.000 0.500 0.750
0.500 0.000 0.250
0.500 0.500 0.000
0.147 0.250 0.625
0.250 0.647 0.875
0.250 0.853 0.375
0.353 0.250 0.125
0.647 0.750 0.125
0.750 0.147 0.375
0.750 0.353 0.875
0.853 0.750 0.625
```

Energy in eV/atom: -5.5369
Fermi-level density of states in states/eV/cell: 11.75